# VOF

A relaxed VOF crystal (PBE with a Hubbard U, Alexandria via LeMat-Bulk).

Values from the calculation:
Electronic total energy, eV/atom: -7.12
D(E_F), states/eV per atom: 0.00

a b c (Å): 7.9161 7.9161 7.9161
angles (deg): 24.31 24.31 24.31
Closest atoms and distances in Å follow each position.
Element x y z (fractional)
V  0.1083  0.1083  0.1083  4 O 2.01-2.10, 3 F 2.21
V  0.8917  0.8917  0.8917  4 O 2.01-2.10, 3 F 2.21
O  0.1996  0.1996  0.1996  4 V 2.01-2.10
O  0.8004  0.8004  0.8004  4 V 2.01-2.10
F  0.3943  0.3943  0.3943  3 V 2.21
F  0.6057  0.6057  0.6057  3 V 2.21